Material: CoSe2Br
Method: DFT, PBE
State: optimized geometry

Results
Total moment in μB per cell: 5.83
E above lowest polymorph in eV per atom: 0.210
Space group: I4/mcm, No. 140
Formation energy without anion corrections in eV/atom: 0.0039
Density in g/cm3: 4.2

Cell lengths 9.395, 9.395, 5.308 Å; angles 90.00, 90.00, 90.00 degrees
Fractional positions:
1 Co 0.000 0.500 0.250
2 Co 0.000 0.500 0.750
3 Co 0.500 0.000 0.250
4 Co 0.500 0.000 0.750
5 Se 0.134 0.366 0.000
6 Se 0.134 0.634 0.500
7 Se 0.366 0.134 0.500
8 Se 0.366 0.866 0.000
9 Se 0.634 0.134 0.000
10 Se 0.634 0.866 0.500
11 Se 0.866 0.366 0.500
12 Se 0.866 0.634 0.000
13 Br 0.000 0.000 0.250
14 Br 0.000 0.000 0.750
15 Br 0.500 0.500 0.250
16 Br 0.500 0.500 0.750